Compound: YCd8
Source: the Alexandria database
Functional: PBE
Structure: relaxed

Computed properties:
- density of states at the Fermi level (states/eV per cell) = 3.7
- SG = No. 139
- calculated formation energy (eV per atom) = -0.13

Lattice parameters (Å, degrees): 7.0831 7.0831 7.0831 96.08 96.08 142.01
Closest atoms and distances in Å follow each position.
Atoms (fractional coordinates):
Y1 0.0000 0.0000 0.0000  12 Cd 3.21-3.24
Cd1 0.0000 0.3386 0.3386  11 Cd 3.06-3.23, 1 Y 3.21
Cd2 0.0000 0.6614 0.6614  11 Cd 3.06-3.23, 1 Y 3.21
Cd3 0.3296 0.3296 0.6592  10 Cd 3.12-3.23, 2 Y 3.24
Cd4 0.3296 0.6704 0.0000  10 Cd 3.12-3.23, 2 Y 3.24
Cd5 0.3386 0.0000 0.3386  11 Cd 3.06-3.23, 1 Y 3.21
Cd6 0.6614 0.0000 0.6614  11 Cd 3.06-3.23, 1 Y 3.21
Cd7 0.6704 0.3296 0.0000  10 Cd 3.12-3.23, 2 Y 3.24
Cd8 0.6704 0.6704 0.3408  10 Cd 3.12-3.23, 2 Y 3.24

Compound: YCd3
Source: the Alexandria database
Functional: PBE
Structure: relaxed

Computed properties:
- density of states at the Fermi level (states/eV per cell) = 1.8
- SG = No. 139
- calculated formation energy (eV per atom) = -0.27

Lattice parameters (Å, degrees): 5.0734 5.0734 5.0734 119.59 119.59 90.72
Closest atoms and distances in Å follow each position.
Atoms (fractional coordinates):
Y1 0.0000 0.0000 0.0000  8 Cd 3.11
Cd1 0.2500 0.7500 0.5000  4 Cd 3.11, 4 Y 3.11
Cd2 0.5000 0.5000 0.0000  8 Cd 3.11
Cd3 0.7500 0.2500 0.5000  4 Cd 3.11, 4 Y 3.11

Compound: Y3Cd
Source: the Alexandria database
Functional: PBE
Structure: relaxed

Computed properties:
- density of states at the Fermi level (states/eV per cell) = 9.5
- SG = No. 194
- energy relative to the lowest polymorph listed for this composition (meV per atom) = 49.0
- calculated formation energy (eV per atom) = -0.11

Lattice parameters (Å, degrees): 6.9621 6.9621 5.5224 90.00 90.00 120.00
Closest atoms and distances in Å follow each position.
Atoms (fractional coordinates):
Y1 0.1715 0.3429 0.2500  8 Y 3.38-3.58, 4 Cd 3.38-3.48
Y2 0.1715 0.8285 0.2500  8 Y 3.38-3.58, 4 Cd 3.38-3.48
Y3 0.3429 0.1715 0.7500  8 Y 3.38-3.58, 4 Cd 3.38-3.48
Y4 0.6571 0.8285 0.2500  8 Y 3.38-3.58, 4 Cd 3.38-3.48
Y5 0.8285 0.1715 0.7500  8 Y 3.38-3.58, 4 Cd 3.38-3.48
Y6 0.8285 0.6571 0.7500  8 Y 3.38-3.58, 4 Cd 3.38-3.48
Cd1 0.3333 0.6667 0.7500  12 Y 3.38-3.48
Cd2 0.6667 0.3333 0.2500  12 Y 3.38-3.48

Compound: Y3Cd
Source: the Alexandria database
Functional: PBE
Structure: relaxed

Computed properties:
- density of states at the Fermi level (states/eV per cell) = 10.4
- SG = No. 59
- energy relative to the lowest polymorph listed for this composition (meV per atom) = 68.5
- calculated formation energy (eV per atom) = -0.10

Lattice parameters (Å, degrees): 5.4539 6.8549 6.2027 90.00 90.00 90.00
Closest atoms and distances in Å follow each position.
Atoms (fractional coordinates):
Y1 0.2500 0.0064 0.1579  8 Y 3.34-3.66, 4 Cd 3.38-3.61
Y2 0.2500 0.2500 0.6332  4 Cd 3.30-3.43, 8 Y 3.39-3.66
Y3 0.2500 0.4936 0.1579  8 Y 3.34-3.66, 4 Cd 3.38-3.61
Y4 0.7500 0.5064 0.8421  8 Y 3.34-3.66, 4 Cd 3.38-3.61
Y5 0.7500 0.7500 0.3668  4 Cd 3.30-3.43, 8 Y 3.39-3.66
Y6 0.7500 0.9936 0.8421  8 Y 3.34-3.66, 4 Cd 3.38-3.61
Cd1 0.2500 0.7500 0.6660  12 Y 3.30-3.61
Cd2 0.7500 0.2500 0.3340  12 Y 3.30-3.61

Compound: YCd3
Source: the Alexandria database
Functional: PBE
Structure: relaxed

Computed properties:
- density of states at the Fermi level (states/eV per cell) = 4.0
- SG = No. 63
- calculated formation energy (eV per atom) = -0.30

Lattice parameters (Å, degrees): 6.5293 6.5293 4.8998 90.00 90.00 114.01
Closest atoms and distances in Å follow each position.
Atoms (fractional coordinates):
Y1 0.1376 0.8624 0.7500  12 Cd 3.20-3.58
Y2 0.8624 0.1376 0.2500  12 Cd 3.20-3.58
Cd1 0.1889 0.3758 0.7500  7 Cd 3.03-3.31, 4 Y 3.20-3.33
Cd2 0.3265 0.6735 0.2500  8 Cd 3.03-3.31, 2 Y 3.21
Cd3 0.3758 0.1889 0.2500  7 Cd 3.03-3.31, 4 Y 3.20-3.33
Cd4 0.6242 0.8111 0.7500  7 Cd 3.03-3.31, 4 Y 3.20-3.33
Cd5 0.6735 0.3265 0.7500  8 Cd 3.03-3.31, 2 Y 3.21
Cd6 0.8111 0.6242 0.2500  7 Cd 3.03-3.31, 4 Y 3.20-3.33

Compound: Y3Cd
Source: the Alexandria database
Functional: PBE
Structure: relaxed

Computed properties:
- density of states at the Fermi level (states/eV per cell) = 4.3
- SG = No. 71
- energy relative to the lowest polymorph listed for this composition (meV per atom) = 0.0
- calculated formation energy (eV per atom) = -0.16

Lattice parameters (Å, degrees): 6.6216 6.6216 6.6216 146.45 131.98 59.85
Closest atoms and distances in Å follow each position.
Atoms (fractional coordinates):
Y1 0.0000 0.0000 0.0000  4 Cd 3.30
Y2 0.2781 0.7781 0.5000  2 Cd 3.18, 4 Y 3.37
Y3 0.7219 0.2219 0.5000  2 Cd 3.18, 4 Y 3.37
Cd1 0.5000 0.5000 0.0000  8 Y 3.18-3.30

Compound: Y3Cd8
Source: the Alexandria database
Functional: PBE
Structure: relaxed

Computed properties:
- density of states at the Fermi level (states/eV per cell) = 5.2
- SG = No. 166
- calculated formation energy (eV per atom) = -0.29

Lattice parameters (Å, degrees): 12.7867 12.7867 12.7867 22.33 22.33 22.33
Closest atoms and distances in Å follow each position.
Atoms (fractional coordinates):
Y1 0.0000 0.0000 0.0000  8 Cd 3.11-3.12
Y2 0.4524 0.4524 0.4524  10 Cd 3.16-3.45
Y3 0.5476 0.5476 0.5476  10 Cd 3.16-3.45
Cd1 0.0833 0.0833 0.0833  4 Cd 2.97-3.04, 4 Y 3.12-3.16
Cd2 0.1629 0.1629 0.1629  4 Cd 2.87-2.97
Cd3 0.2779 0.2779 0.2779  7 Cd 2.98-3.30
Cd4 0.3661 0.3661 0.3661  4 Cd 2.98-3.30, 4 Y 3.11-3.23
Cd5 0.6339 0.6339 0.6339  4 Cd 2.98-3.30, 4 Y 3.11-3.23
Cd6 0.7221 0.7221 0.7221  7 Cd 2.98-3.30
Cd7 0.8371 0.8371 0.8371  4 Cd 2.87-2.97
Cd8 0.9167 0.9167 0.9167  4 Cd 2.97-3.04, 4 Y 3.12-3.16

Compound: Y3Cd
Source: the Alexandria database
Functional: PBE
Structure: relaxed

Computed properties:
- density of states at the Fermi level (states/eV per cell) = 5.4
- SG = No. 221
- energy relative to the lowest polymorph listed for this composition (meV per atom) = 62.7
- calculated formation energy (eV per atom) = -0.10

Lattice parameters (Å, degrees): 4.8717 4.8717 4.8717 90.00 90.00 90.00
Closest atoms and distances in Å follow each position.
Atoms (fractional coordinates):
Y1 0.0000 0.0000 0.5000  4 Cd 3.44, 8 Y 3.44
Y2 0.0000 0.5000 0.0000  4 Cd 3.44, 8 Y 3.44
Y3 0.5000 0.0000 0.0000  4 Cd 3.44, 8 Y 3.44
Cd1 0.5000 0.5000 0.5000  12 Y 3.44

Q: What is the formula in the fifth record?
A: YCd3